Record 1
First-principles (PBE) data for an optimized crystal structure of MgCdSiAu2, as listed in Alexandria via LeMat-Bulk.

a = 4.9843 Å, b = 4.8840 Å, c = 4.9843 Å
α = 90.00°, β = 90.00°, γ = 90.00°
With the nearest neighbours (Å) after each atom.
Fractional coordinates of all 5 atoms:
Si (0.0000, 0.5000, 0.0000)  2 Mg 2.44
Au (0.0000, 0.0000, 0.5000)  2 Mg 2.49
Au (0.5000, 0.0000, 0.0000)  2 Mg 2.49
Mg (0.0000, 0.0000, 0.0000)  2 Si 2.44, 4 Au 2.49
Cd (0.5000, 0.5000, 0.5000)  8 Au 3.49, 4 Si 3.52

Output
**Space-group type**: P4/mmm, No. 123



Record 2
First-principles (PBE) data for an optimized crystal structure of SmMg2CdAu4, as listed in Alexandria via LeMat-Bulk.

a = 4.6984 Å, b = 4.6984 Å, c = 9.1121 Å
α = 75.06°, β = 75.06°, γ = 60.00°
With the nearest neighbours (Å) after each atom.
Fractional coordinates of all 8 atoms:
Sm (0.0000, 0.0000, 0.0000)  8 Au 3.09-3.17
Mg (0.7592, 0.7592, 0.7223)  7 Au 2.81-3.12
Mg (0.2408, 0.2408, 0.2777)  7 Au 2.81-3.12
Cd (0.5000, 0.5000, 0.5000)  8 Au 2.87-2.96
Au (0.3900, 0.3900, 0.8299)  3 Mg 2.87, 1 Cd 2.87, 3 Sm 3.09, 3 Au 3.19
Au (0.8787, 0.8787, 0.3639)  4 Mg 2.81-3.12, 3 Cd 2.96
Au (0.1213, 0.1213, 0.6361)  4 Mg 2.81-3.12, 3 Cd 2.96
Au (0.6100, 0.6100, 0.1701)  3 Mg 2.87, 1 Cd 2.87, 3 Sm 3.09, 3 Au 3.19

Output
**ΔH_f (0 K)**: -0.56 eV per atom
**Space-group type**: R-3m, No. 166



Record 3
First-principles (PBE) data for an optimized crystal structure of SmMgCdAu, as listed in Alexandria via LeMat-Bulk.

a = 5.0496 Å, b = 5.0496 Å, c = 5.0496 Å
α = 60.00°, β = 60.00°, γ = 60.00°
With the nearest neighbours (Å) after each atom.
Fractional coordinates of all 4 atoms:
Mg (0.0000, 0.0000, 0.0000)  4 Cd 3.09, 4 Au 3.09
Au (0.2500, 0.2500, 0.2500)  4 Mg 3.09, 4 Sm 3.09
Sm (0.5000, 0.5000, 0.5000)  4 Cd 3.09, 4 Au 3.09
Cd (0.7500, 0.7500, 0.7500)  4 Mg 3.09, 4 Sm 3.09

Output
**ΔH_f (0 K)**: -0.54 eV per atom
**Space-group type**: F-43m, No. 216



Record 4
First-principles (PBE) data for an optimized crystal structure of Sm2MgCdAu4, as listed in Alexandria via LeMat-Bulk.

a = 5.0176 Å, b = 5.0176 Å, c = 8.5580 Å
α = 72.95°, β = 72.95°, γ = 60.00°
With the nearest neighbours (Å) after each atom.
Fractional coordinates of all 8 atoms:
Sm (0.7470, 0.7470, 0.7591)  8 Au 3.00-3.12
Sm (0.2530, 0.2530, 0.2409)  8 Au 3.00-3.12
Mg (0.5000, 0.5000, 0.5000)  8 Au 2.87-3.04
Cd (0.0000, 0.0000, 0.0000)  8 Au 3.09-3.12
Au (0.3813, 0.3813, 0.8562)  1 Mg 2.87, 4 Sm 3.00-3.10, 3 Cd 3.12
Au (0.8722, 0.8722, 0.3835)  4 Sm 3.02-3.12, 3 Mg 3.04, 1 Cd 3.09
Au (0.1278, 0.1278, 0.6165)  4 Sm 3.02-3.12, 3 Mg 3.04, 1 Cd 3.09
Au (0.6187, 0.6187, 0.1438)  1 Mg 2.87, 4 Sm 3.00-3.10, 3 Cd 3.12

Output
**ΔH_f (0 K)**: -0.71 eV per atom
**Space-group type**: R-3m, No. 166



Record 5
First-principles (PBE) data for an optimized crystal structure of MgCdSnAu, as listed in Alexandria via LeMat-Bulk.

a = 4.9693 Å, b = 4.9693 Å, c = 4.9693 Å
α = 60.00°, β = 60.00°, γ = 60.00°
With the nearest neighbours (Å) after each atom.
Fractional coordinates of all 4 atoms:
Mg (0.2500, 0.2500, 0.2500)  4 Sn 3.04, 4 Au 3.04
Au (0.5000, 0.5000, 0.5000)  4 Cd 3.04, 4 Mg 3.04
Sn (0.0000, 0.0000, 0.0000)  4 Cd 3.04, 4 Mg 3.04
Cd (0.7500, 0.7500, 0.7500)  4 Sn 3.04, 4 Au 3.04

Output
**ΔH_f (0 K)**: -0.12 eV per atom
**Space-group type**: F-43m, No. 216



Record 6
First-principles (PBE) data for an optimized crystal structure of Sr2Mg4CdAu3, as listed in Alexandria via LeMat-Bulk.

a = 4.6376 Å, b = 4.6376 Å, c = 11.6428 Å
α = 90.00°, β = 90.00°, γ = 90.00°
With the nearest neighbours (Å) after each atom.
Fractional coordinates of all 10 atoms:
Sr (0.5000, 0.0000, 0.2478)  6 Au 3.54-3.74, 8 Mg 3.55-3.70, 2 Cd 3.74
Sr (0.0000, 0.5000, 0.7522)  6 Au 3.54-3.74, 8 Mg 3.55-3.70, 2 Cd 3.74
Mg (0.5000, 0.5000, 0.0000)  4 Au 2.79
Mg (0.0000, 0.0000, 0.0000)  4 Au 2.79
Mg (0.5000, 0.0000, 0.6353)  3 Au 2.69-2.80, 2 Cd 2.80
Mg (0.0000, 0.5000, 0.3647)  3 Au 2.69-2.80, 2 Cd 2.80
Cd (0.5000, 0.5000, 0.5000)  4 Mg 2.80
Au (0.0000, 0.0000, 0.5000)  4 Mg 2.80
Au (0.5000, 0.0000, 0.8667)  5 Mg 2.69-2.79
Au (0.0000, 0.5000, 0.1333)  5 Mg 2.69-2.79

Output
**ΔH_f (0 K)**: -0.50 eV per atom
**Space-group type**: P-4m2, No. 115



Record 7
First-principles (PBE) data for an optimized crystal structure of SrMg2CdAu2, as listed in Alexandria via LeMat-Bulk.

a = 4.7482 Å, b = 4.7482 Å, c = 7.2763 Å
α = 90.00°, β = 90.00°, γ = 120.00°
With the nearest neighbours (Å) after each atom.
Fractional coordinates of all 6 atoms:
Sr (0.0000, 0.0000, 0.0000)  6 Au 3.40, 2 Cd 3.64, 6 Mg 3.65
Mg (0.3333, 0.6667, 0.6680)  4 Au 2.77-2.85, 3 Cd 3.00
Mg (0.6667, 0.3333, 0.3320)  4 Au 2.77-2.85, 3 Cd 3.00
Cd (0.0000, 0.0000, 0.5000)  6 Mg 3.00, 6 Au 3.19
Au (0.3333, 0.6667, 0.2768)  4 Mg 2.77-2.85
Au (0.6667, 0.3333, 0.7232)  4 Mg 2.77-2.85

Output
**ΔH_f (0 K)**: -0.53 eV per atom
**Space-group type**: P-3m1, No. 164



Record 8
First-principles (PBE) data for an optimized crystal structure of Sr2MgCd3Au4, as listed in Alexandria via LeMat-Bulk.

a = 4.7867 Å, b = 4.7867 Å, c = 11.1858 Å
α = 90.00°, β = 90.00°, γ = 90.00°
With the nearest neighbours (Å) after each atom.
Fractional coordinates of all 10 atoms:
Sr (0.5000, 0.0000, 0.2332)  8 Au 3.54-3.72, 6 Cd 3.58-3.83, 2 Mg 3.83
Sr (0.0000, 0.5000, 0.7668)  8 Au 3.54-3.72, 6 Cd 3.58-3.83, 2 Mg 3.83
Mg (0.5000, 0.5000, 0.5000)  4 Au 2.79
Cd (0.0000, 0.0000, 0.5000)  4 Au 2.79
Cd (0.5000, 0.0000, 0.8716)  5 Au 2.72-2.79
Cd (0.0000, 0.5000, 0.1284)  5 Au 2.72-2.79
Au (0.5000, 0.5000, 0.0000)  4 Cd 2.79
Au (0.0000, 0.0000, 0.0000)  4 Cd 2.79
Au (0.5000, 0.0000, 0.6288)  3 Cd 2.72-2.79, 2 Mg 2.79
Au (0.0000, 0.5000, 0.3712)  3 Cd 2.72-2.79, 2 Mg 2.79

Output
**ΔH_f (0 K)**: -0.48 eV per atom
**Space-group type**: P-4m2, No. 115



Record 9
First-principles (PBE) data for an optimized crystal structure of Sr2MgCd12Au3, as listed in Alexandria via LeMat-Bulk.

a = 8.8131 Å, b = 8.8131 Å, c = 8.8131 Å
α = 66.40°, β = 66.40°, γ = 66.40°
With the nearest neighbours (Å) after each atom.
Fractional coordinates of all 18 atoms:
Sr (0.6013, 0.6013, 0.6013)  6 Cd 3.39-3.58
Sr (0.3987, 0.3987, 0.3987)  6 Cd 3.39-3.58
Mg (0.0000, 0.0000, 0.0000)  6 Cd 2.84
Cd (0.3495, 0.3495, 0.9709)  2 Au 2.77, 2 Cd 3.02
Cd (0.8621, 0.8621, 0.3615)  1 Au 2.83, 1 Mg 2.84, 4 Cd 3.02
Cd (0.3615, 0.8621, 0.8621)  1 Au 2.83, 1 Mg 2.84, 4 Cd 3.02
Cd (0.9709, 0.3495, 0.3495)  2 Au 2.77, 2 Cd 3.02
Cd (0.8621, 0.3615, 0.8621)  1 Au 2.83, 1 Mg 2.84, 4 Cd 3.02
Cd (0.3495, 0.9709, 0.3495)  2 Au 2.77, 2 Cd 3.02
Cd (0.6505, 0.6505, 0.0291)  2 Au 2.77, 2 Cd 3.02
Cd (0.1379, 0.1379, 0.6385)  1 Au 2.83, 1 Mg 2.84, 4 Cd 3.02
Cd (0.6385, 0.1379, 0.1379)  1 Au 2.83, 1 Mg 2.84, 4 Cd 3.02
Cd (0.0291, 0.6505, 0.6505)  2 Au 2.77, 2 Cd 3.02
Cd (0.1379, 0.6385, 0.1379)  1 Au 2.83, 1 Mg 2.84, 4 Cd 3.02
Cd (0.6505, 0.0291, 0.6505)  2 Au 2.77, 2 Cd 3.02
Au (0.5000, 0.0000, 0.0000)  6 Cd 2.77-2.83
Au (0.0000, 0.5000, 0.0000)  6 Cd 2.77-2.83
Au (0.0000, 0.0000, 0.5000)  6 Cd 2.77-2.83

Output
**ΔH_f (0 K)**: 0.04 eV per atom
**Space-group type**: R-3m, No. 166



Record 10
First-principles (PBE) data for an optimized crystal structure of Sr2MgCdAu6, as listed in Alexandria via LeMat-Bulk.

a = 9.5154 Å, b = 5.5289 Å, c = 7.3812 Å
α = 68.00°, β = 48.76°, γ = 90.00°
With the nearest neighbours (Å) after each atom.
Fractional coordinates of all 10 atoms:
Sr (0.2947, 0.7449, 0.5098)  6 Au 3.33-3.41, 2 Cd 3.66
Sr (0.7053, 0.2551, 0.4902)  6 Au 3.33-3.41, 2 Cd 3.66
Mg (0.5000, 0.5000, 0.0000)  6 Au 2.69-2.75
Cd (0.0000, 0.0000, 0.0000)  6 Au 2.82-2.83
Au (0.2581, 0.7504, 0.9996)  1 Mg 2.69, 4 Au 2.76-2.96, 1 Cd 2.82
Au (0.7419, 0.7496, 0.0005)  1 Mg 2.69, 4 Au 2.76-2.96, 1 Cd 2.82
Au (0.1035, 0.2517, 0.4962)  1 Mg 2.75, 1 Cd 2.83, 4 Au 2.92-2.96
Au (0.7419, 0.2496, 0.0004)  1 Mg 2.69, 4 Au 2.76-2.96, 1 Cd 2.82
Au (0.2581, 0.2504, 0.9995)  1 Mg 2.69, 4 Au 2.76-2.96, 1 Cd 2.82
Au (0.8965, 0.7483, 0.5038)  1 Mg 2.75, 1 Cd 2.83, 4 Au 2.92-2.96

Output
**ΔH_f (0 K)**: -0.49 eV per atom
**Space-group type**: C2/m, No. 12



no.,energy (eV per atom)
1,-2.2903
2,-3.3016
3,-3.1617
4,-3.8421
5,-2.5633
6,-2.5450
7,-2.5911
8,-2.5651
9,-1.3876
10,-3.0468